Density functional theory data (PBE) for a geometry-optimized La2MgTeRh structure.

The calculation puts the total energy at -5.192 eV per atom. The volume comes out at 151 Å³ per cell. As for the space-group type: P4/mmm.

Cell: 5.4625 5.4625 5.0445 Å, 90.00 90.00 90.00°
Closest atoms and distances in Å follow each position.
Fractional coordinates of all 5 atoms:
La (0.0000, 0.5000, 0.0000)  2 Rh 2.73
La (0.5000, 0.0000, 0.0000)  2 Rh 2.73
Mg (0.0000, 0.0000, 0.5000)  2 Rh 2.52
Te (0.5000, 0.5000, 0.5000)  8 La 3.72, 4 Mg 3.86
Rh (0.0000, 0.0000, 0.0000)  2 Mg 2.52, 4 La 2.73

Density functional theory data (PBE) for a geometry-optimized LaMgTiRh2 structure.

For the formation energy, the calculation gives -0.01 eV/atom. The calculation puts the total energy at -5.836 eV per atom. The volume comes out at 110 Å³ per cell. As for the space-group type: P4/mmm.

Cell: 4.6560 4.6560 5.0854 Å, 90.00 90.00 90.00°
Closest atoms and distances in Å follow each position.
Fractional coordinates of all 5 atoms:
La (0.0000, 0.0000, 0.0000)  4 Mg 3.29, 8 Rh 3.45
Mg (0.5000, 0.5000, 0.0000)  2 Ti 2.54
Ti (0.5000, 0.5000, 0.5000)  4 Rh 2.33, 2 Mg 2.54
Rh (0.0000, 0.5000, 0.5000)  2 Ti 2.33
Rh (0.5000, 0.0000, 0.5000)  2 Ti 2.33

Density functional theory data (PBE) for a geometry-optimized La2MgTlRh structure.

For the formation energy, the calculation gives -0.43 eV/atom. The calculation puts the total energy at -4.668 eV per atom. The volume comes out at 153 Å³ per cell. As for the space-group type: P4/mmm.

Cell: 5.4733 5.4733 5.1113 Å, 90.00 90.00 90.00°
Closest atoms and distances in Å follow each position.
Fractional coordinates of all 5 atoms:
La (0.0000, 0.5000, 0.0000)  2 Rh 2.74
La (0.5000, 0.0000, 0.0000)  2 Rh 2.74
Mg (0.0000, 0.0000, 0.5000)  2 Rh 2.56
Tl (0.5000, 0.5000, 0.5000)  8 La 3.74, 4 Mg 3.87
Rh (0.0000, 0.0000, 0.0000)  2 Mg 2.56, 4 La 2.74